4
Lattice="-1.7880 -1.0459 4.0428 -3.4868 -0.6844 -2.8299 0.9865 -3.2999 -0.4175" Properties=species:S:1:pos:R:3 comment="ZrP2Se, optimized geometry, DFT PBE" total_magnetization_mub_per_cell=0.00 spacegroup="No. 65" raw_formation_energy_mev_per_atom=-162 crystal_system=orthorhombic pbc="T T T"
P 0.0000 0.0000 0.0000
P -2.6374 -0.8651 0.6064
Zr -1.2502 -1.9922 -1.6237
Se -0.4007 -2.1729 1.8127


5
Lattice="-1.0188 -3.3314 2.5202 4.0889 -0.3397 1.2858 -2.5574 4.9730 1.9478" Properties=species:S:1:pos:R:3 comment="AcNi2Ge2, optimized geometry, DFT PBE" polymorph_energy_mev_per_atom=0 total_magnetization_mub_per_cell=0.00 spacegroup="No. 12" crystal_system=monoclinic pbc="T T T"
Ac 0.0000 0.0000 0.0000
Ni -0.9536 -0.1772 3.2686
Ni 1.4663 1.4790 2.4852
Ge -0.7995 2.2071 2.7738
Ge 1.3123 -0.9053 2.9801


4
Lattice="0.3995 -4.4154 0.2741 -2.8236 -2.3337 2.5123 -3.0267 -2.6270 -1.9153" Properties=species:S:1:pos:R:3 comment="Li2SiAs, optimized geometry, DFT PBE" polymorph_energy_mev_per_atom=133 total_magnetization_mub_per_cell=0.00 spacegroup="No. 225" raw_formation_energy_mev_per_atom=-163 crystal_system=cubic pbc="T T T"
Si 0.0000 0.0000 0.0000
Li -4.0881 -7.0321 0.6534
Li -1.3627 -2.3440 0.2178
As -2.7254 -4.6881 0.4356